20
Lattice="8.670 5.005 2.009 -8.670 5.005 2.009 0.000 -10.011 2.009" Properties=species:S:1:pos:R:3 comment="Tl12SiAu7, relaxed, DFT PBE" formation_energy_uncorrected_mev_per_atom=14 dos_ef_per_ev_atom=0.51 magnetic_moment_mub_per_cell=0.00 pbc="T T T"
Tl -3.554 -3.855 2.009
Tl -5.115 -1.151 2.009
Tl 0.000 -3.274 0.955
Tl -2.836 1.637 0.955
Tl 2.836 1.637 0.955
Tl 3.554 -3.855 2.009
Tl -1.561 5.005 2.009
Tl 5.115 -1.151 2.009
Tl 1.561 5.005 2.009
Tl -2.836 -1.637 5.071
Tl 2.836 -1.637 5.071
Tl 0.000 3.274 5.071
Si 0.000 0.000 3.013
Au 0.000 0.000 0.000
Au -2.048 -1.182 1.999
Au 2.048 -1.182 1.999
Au 0.000 2.365 1.999
Au 0.000 -2.365 4.027
Au -2.048 1.182 4.027
Au 2.048 1.182 4.027